No. 1
RbCeCu2Se4 (GGA-PBE, relaxed); total magnetic moment = 0.0 μB per formula unit; raw formation energy = -16.14 kcal/mol of atoms; space group = I222 (23)
1.0
-3.3564 4.0120 4.3007
3.3564 -4.0120 4.3007
3.3564 4.0120 -4.3007
Rb Ce Cu Se
1 1 2 4
direct
0.0000 0.0000 0.0000
0.5000 0.5000 0.0000
0.3546 0.8546 0.5000
0.6454 0.1454 0.5000
0.1226 0.0647 0.5588
0.4941 0.9353 0.0580
0.5059 0.5638 0.4412
0.8774 0.4362 0.9420

No. 2
Sc3MoH8 (GGA-PBE, relaxed); total magnetic moment = 0.0 μB per formula unit; total DFT energy (no corrections) = -5.219 eV/atom; space group = I4/mmm (139)
1.0
-2.2953 2.2953 4.7395
2.2953 -2.2953 4.7395
2.2953 2.2953 -4.7395
Sc Mo H
3 1 8
direct
0.0000 0.0000 0.0000
0.2500 0.7500 0.5000
0.7500 0.2500 0.5000
0.5000 0.5000 0.0000
0.1465 0.1465 0.5265
0.1465 0.6200 0.0000
0.3800 0.3800 0.5265
0.3800 0.8535 0.0000
0.6200 0.1465 0.0000
0.6200 0.6200 0.4735
0.8535 0.3800 0.0000
0.8535 0.8535 0.4735

No. 3
BaPa4Te12Au3 (GGA-PBE, relaxed); total magnetic moment = 1.5 μB per formula unit; raw formation energy = -14.12 kcal/mol of atoms; space group = Im-3 (204)
1.0
-5.5820 5.5820 5.5820
5.5820 -5.5820 5.5820
5.5820 5.5820 -5.5820
Ba Pa Te Au
1 4 12 3
direct
0.0000 0.0000 0.0000
0.0000 0.0000 0.5000
0.0000 0.5000 0.0000
0.5000 0.0000 0.0000
0.5000 0.5000 0.5000
0.1410 0.3105 0.8305
0.1695 0.4800 0.3105
0.1695 0.8590 0.6895
0.3105 0.1695 0.4800
0.3105 0.8305 0.1410
0.4800 0.3105 0.1695
0.5200 0.6895 0.8305
0.6895 0.1695 0.8590
0.6895 0.8305 0.5200
0.8305 0.1410 0.3105
0.8305 0.5200 0.6895
0.8590 0.6895 0.1695
0.0000 0.5000 0.5000
0.5000 0.0000 0.5000
0.5000 0.5000 0.0000

No. 4
Ir2RuPt (GGA-PBE, relaxed); total magnetic moment = 1.0 μB per formula unit; polymorph energy (0 for the lowest one) = 306 meV per atom; formation energy = 288 meV per atom; space group = P4/mmm (123)
1.0
3.3381 0.0000 0.0000
0.0000 3.3381 0.0000
0.0000 0.0000 5.4124
Ir Ru Pt
2 1 1
direct
0.0000 0.0000 0.2437
0.0000 0.0000 0.7563
0.5000 0.5000 0.0000
0.5000 0.5000 0.5000

No. 5
Pm4PrAl (GGA-PBE, relaxed); total magnetic moment = 0.0 μB per formula unit; polymorph energy (0 for the lowest one) = 59 meV per atom; formation energy = -39 meV per atom; space group = C2/c (15)
1.0
4.5098 -7.0704 0.0000
4.5098 7.0704 0.0000
-2.1303 0.0000 6.0384
Pm Pr Al
8 2 2
direct
0.0809 0.7176 0.9504
0.1682 0.3881 0.6280
0.2824 0.9191 0.5496
0.3881 0.1682 0.1280
0.6119 0.8318 0.8720
0.7176 0.0809 0.4504
0.8318 0.6119 0.3720
0.9191 0.2824 0.0496
0.4042 0.5958 0.2500
0.5958 0.4042 0.7500
0.9999 0.0001 0.2500
0.0001 0.9999 0.7500

No. 6
Ba3Mg2Hg4Pb2 (GGA-PBE, relaxed); total magnetic moment = 0.0 μB per formula unit; formation energy = -377 meV per atom; space group = P-3m1 (164)
1.0
5.2639 0.0000 0.0000
-2.6319 4.5586 0.0000
0.0000 0.0000 15.4639
Ba Mg Hg Pb
3 2 4 2
direct
0.0000 0.0000 0.0000
0.0000 0.0000 0.2874
0.0000 0.0000 0.7126
0.3333 0.6667 0.5647
0.6667 0.3333 0.4353
0.3333 0.6667 0.3870
0.3333 0.6667 0.8725
0.6667 0.3333 0.1275
0.6667 0.3333 0.6130
0.3333 0.6667 0.1569
0.6667 0.3333 0.8431

No. 7
CuPd4Se (GGA-PBE, relaxed); total magnetic moment = 0.0 μB per formula unit; polymorph energy (0 for the lowest one) = 392 meV per atom; raw formation energy = 6.84 kcal/mol of atoms; space group = I4_1md (109)
1.0
-3.8324 3.8324 3.9858
3.8324 -3.8324 3.9858
3.8324 3.8324 -3.9858
Cu Pd Se
2 8 2
direct
0.0000 0.0000 0.0000
0.7500 0.2500 0.5000
0.1943 0.5094 0.6849
0.2594 0.0746 0.8151
0.2594 0.4443 0.1849
0.3089 0.9945 0.3144
0.6801 0.9945 0.6856
0.7445 0.5589 0.8144
0.7445 0.9301 0.1856
0.8246 0.5094 0.3151
0.2538 0.7538 0.5000
0.5038 0.5038 0.0000

No. 8
LaHg4Sb (GGA-PBE, relaxed); total magnetic moment = 0.0 μB per formula unit; raw formation energy = -4.12 kcal/mol of atoms; space group = F-43m (216)
1.0
0.0000 4.3272 4.3272
4.3272 0.0000 4.3272
4.3272 4.3272 0.0000
La Hg Sb
1 4 1
direct
0.0000 0.0000 0.0000
0.3754 0.3754 0.3754
0.3754 0.3754 0.8737
0.3754 0.8737 0.3754
0.8737 0.3754 0.3754
0.7500 0.7500 0.7500